## Y2SnH (PBE-GGA)

Data for a geometry-optimized Y2SnH structure.

Properties
The space group is Fm-3m. As for the total energy: -5.34 eV per atom. The value obtained for the relative energy among the computed polymorphs is 0.428 eV/atom. The volume is 23.27 A^3/atom. As for the magnetization: 0.000 μB/atom.

Cell: 5.087 5.087 5.087 Å, 60.00 60.00 60.00°
Element x y z (fractional)
Y1 0.250 0.250 0.250
Y2 0.750 0.750 0.750
Sn1 0.000 0.000 0.000
H1 0.500 0.500 0.500

---

## CsAc2Ge2 (PBE-GGA)

Data for a geometry-optimized CsAc2Ge2 structure.

Properties
The space group is C2/c. As for the total energy: -3.98 eV per atom. For the formation energy, the calculation gives -0.323 eV/atom. The volume is 41.63 A^3/atom. As for the magnetization: 0.000 μB/atom.

Cell: 8.868 8.868 8.480 Å, 97.26 97.26 39.05°
Element x y z (fractional)
Cs1 0.105 0.895 0.750
Cs2 0.895 0.105 0.250
Ac1 0.191 0.456 0.334
Ac2 0.456 0.191 0.834
Ac3 0.544 0.809 0.166
Ac4 0.809 0.544 0.666
Ge1 0.074 0.308 0.020
Ge2 0.308 0.074 0.520
Ge3 0.692 0.926 0.480
Ge4 0.926 0.692 0.980

---

Q: Which value of volume does entry 1 give?
A: 23.27 A^3/atom

---

Repeat the first record exactly.
## Y2SnH (PBE-GGA)

Data for a geometry-optimized Y2SnH structure.

Properties
The space group is Fm-3m. As for the total energy: -5.34 eV per atom. The value obtained for the relative energy among the computed polymorphs is 0.428 eV/atom. The volume is 23.27 A^3/atom. As for the magnetization: 0.000 μB/atom.

Cell: 5.087 5.087 5.087 Å, 60.00 60.00 60.00°
Element x y z (fractional)
Y1 0.250 0.250 0.250
Y2 0.750 0.750 0.750
Sn1 0.000 0.000 0.000
H1 0.500 0.500 0.500

---

Copy entry 1 word for word.
## Y2SnH (PBE-GGA)

Data for a geometry-optimized Y2SnH structure.

Properties
The space group is Fm-3m. As for the total energy: -5.34 eV per atom. The value obtained for the relative energy among the computed polymorphs is 0.428 eV/atom. The volume is 23.27 A^3/atom. As for the magnetization: 0.000 μB/atom.

Cell: 5.087 5.087 5.087 Å, 60.00 60.00 60.00°
Element x y z (fractional)
Y1 0.250 0.250 0.250
Y2 0.750 0.750 0.750
Sn1 0.000 0.000 0.000
H1 0.500 0.500 0.500

---

Q: Which value of magnetization does entry 2 give?
A: 0.000 μB/atom